[1]
# ErTiTl

An optimized crystal structure of ErTiTl (PBE, the Alexandria database).

Unit cell a=6.5065 b=6.5065 c=6.5065 alpha=149.53 beta=149.53 gamma=43.63
Last column: nearest neighbours and their distance in Å.
Positions (direct):
Er 0.0000 0.0000 0.0000  4 Ti 3.14, 4 Tl 3.30, 4 Er 3.42
Ti 0.3340 0.3340 0.0000  4 Tl 3.00, 4 Er 3.14
Tl 0.6863 0.6863 0.0000  4 Ti 3.00, 4 Er 3.30

Output
V = 23.54 Å³/atom
Energy of formation = -0.004 eV per atom
Polymorph energy (0 for the lowest one) = 0 meV/atom
Total energy = -4.95 eV/atom
Size of the total moment = 0.000 μB per atom
DOS at the Fermi energy = 0.927 states/eV per atom

[2]
# Tc2OsRu

An optimized crystal structure of Tc2OsRu (PBE, the Alexandria database).

Unit cell a=2.7213 b=3.8768 c=5.4452 alpha=90.00 beta=90.00 gamma=90.00
Last column: nearest neighbours and their distance in Å.
Positions (direct):
Tc 0.0000 0.0000 0.2499  4 Tc 2.72, 4 Os 2.73, 4 Ru 2.73
Tc 0.0000 0.0000 0.7501  4 Tc 2.72, 4 Os 2.73, 4 Ru 2.73
Os 0.5000 0.5000 0.0000  2 Os 2.72, 2 Ru 2.72, 8 Tc 2.73
Ru 0.5000 0.5000 0.5000  2 Ru 2.72, 2 Os 2.72, 8 Tc 2.73

Output
V = 14.36 Å³/atom
Energy of formation = 0.049 eV per atom
Polymorph energy (0 for the lowest one) = 126 meV/atom
Total energy = -10.26 eV/atom
Size of the total moment = 0.000 μB per atom
DOS at the Fermi energy = 1.171 states/eV per atom

> The highest polymorph energy (0 for the lowest one) belongs to which entry?

Tc2OsRu